Record 1
First-principles (PBE) data for a geometry-optimized RhAuSeBr2 structure, as listed in the Alexandria database.

## Properties
Offset from the most stable computed form ... 0.000 eV/f.u.
Uncorrected formation energy ... 380 meV per atom

a b c (Å): 5.1906 5.1906 4.6981
angles (deg): 90.00 90.00 90.00
Last column: nearest neighbours and their distance in Å.
Space group P4/mmm (No. 123)
Asymmetric unit:
Rh: 0.0000 0.0000 0.0000 [1 per cell]  2 Se 2.35, 4 Br 2.60
Au: 0.5000 0.5000 0.5000 [1 per cell]  8 Br 3.50, 4 Se 3.67
Se: 0.0000 0.0000 0.5000 [1 per cell]  2 Rh 2.35
Br: 0.0000 0.5000 0.0000 [2 per cell]  2 Rh 2.60

=====

Record 2
First-principles (PBE) data for a geometry-optimized Rh2WAuBr structure, as listed in the Alexandria database.

## Properties
Uncorrected formation energy ... 1127 meV per atom

a b c (Å): 4.8006 4.8006 4.7998
angles (deg): 90.00 90.00 90.00
Last column: nearest neighbours and their distance in Å.
Space group P4/mmm (No. 123)
Asymmetric unit:
Rh: 0.0000 0.5000 0.0000 [2 per cell]  2 W 2.40
W: 0.0000 0.0000 0.0000 [1 per cell]  2 Br 2.40, 4 Rh 2.40
Au: 0.5000 0.5000 0.5000 [1 per cell]  8 Rh 3.39, 4 Br 3.39
Br: 0.0000 0.0000 0.5000 [1 per cell]  2 W 2.40